Entry from Alexandria: an optimized crystal structure of Tb5As4Cl (PBE).

total moment: 0.00 μB per formula unit
energy relative to the elements, uncorrected: -1542 meV/atom
density of states at the Fermi level: 0.296 states/eV/atom
SG: No. 71

abc: 10.9107 10.9107 10.9107
angles: 158.14 149.18 38.10
With the nearest neighbours (Å) after each atom.
Atoms (fractional coordinates):
Tb (0.0000, 0.0000, 0.0000)  4 As 2.89, 2 Cl 2.90
Tb (0.1993, 0.1993, 0.0000)  6 As 2.90-2.95
Tb (0.3908, 0.3908, 0.0000)  4 As 2.80-2.91, 2 Cl 3.06
Tb (0.6092, 0.6092, 0.0000)  4 As 2.80-2.91, 2 Cl 3.06
Tb (0.8007, 0.8007, 0.0000)  6 As 2.90-2.95
As (0.0976, 0.5976, 0.5000)  6 Tb 2.89-2.95
As (0.2992, 0.7992, 0.5000)  6 Tb 2.80-2.92
As (0.7008, 0.2008, 0.5000)  6 Tb 2.80-2.92
As (0.9024, 0.4024, 0.5000)  6 Tb 2.89-2.95
Cl (0.5000, 0.0000, 0.5000)  6 Tb 2.90-3.06